(1)
Material: AlSnBW2
Method: DFT, GGA-PBE
State: optimized geometry

## Properties
DFT formation energy: 0.387 eV per atom
Symmetry: No. 123

```
AlSnBW2
1.0
-0.373 0.672 4.328
1.399 -3.650 0.687
4.096 1.590 0.106
Al Sn W B
1 1 2 1
direct
0.000 0.500 0.000
0.500 0.500 0.500
0.000 0.000 0.500
0.500 0.000 0.000
0.000 0.000 0.000
```

(2)
Material: SmCd8Pd4
Method: DFT, GGA-PBE
State: optimized geometry

## Properties
DFT formation energy: -0.357 eV per atom
Symmetry: No. 139

```
SmCd8Pd4
1.0
0.784 1.332 5.510
-1.700 -5.536 4.552
6.782 -1.594 2.392
Cd Pd Sm
8 4 1
direct
0.661 0.339 0.339
0.000 0.339 0.661
0.339 0.661 0.661
0.282 0.218 0.218
0.500 0.218 0.782
0.000 0.661 0.339
0.500 0.782 0.218
0.718 0.782 0.782
0.500 0.500 0.000
0.000 0.000 0.500
0.000 0.500 0.000
0.500 0.000 0.500
0.000 0.000 0.000
```

(3)
Material: TcW
Method: DFT, GGA-PBE
State: optimized geometry

## Properties
Relative energy among the computed polymorphs: 11.1 kJ per mole of atoms
DFT formation energy: 0.180 eV per atom
Symmetry: No. 129

```
TcW
1.0
2.744 0.000 0.000
0.000 2.744 0.000
0.000 0.000 8.262
Tc W
2 2
direct
0.250 0.250 0.110
0.750 0.750 0.890
0.750 0.750 0.364
0.250 0.250 0.636
```

Among the records above, which one has the lowest DFT formation energy? SmCd8Pd4

Look up the DFT formation energy of the first one. 0.387 eV per atom

DFT formation energy of number 2 (SmCd8Pd4)? -0.357 eV per atom

What is the DFT formation energy in the second record? -0.357 eV per atom